(1)
{
  "formula": "Zr5SiAs3",
  "functional": "GGA-PBE",
  "state": "relaxed",
  "sg": "No. 193",
  "final_energy_ev_per_atom": -7.87,
  "lattice_angstrom": [[8.2936, 0.0000, 0.0000], [-4.1468, 7.1825, 0.0000], [0.0000, 0.0000, 5.6586]],
  "species": ["Zr", "Zr", "Zr", "Zr", "Zr", "Zr", "Zr", "Zr", "Zr", "Zr", "Si", "Si", "As", "As", "As", "As", "As", "As"],
  "fractional_positions": [[0.0000, 0.2695, 0.2500], [0.0000, 0.7305, 0.7500], [0.2695, 0.0000, 0.2500], [0.2695, 0.2695, 0.7500], [0.3333, 0.6667, 0.0000], [0.3333, 0.6667, 0.5000], [0.6667, 0.3333, 0.0000], [0.6667, 0.3333, 0.5000], [0.7305, 0.0000, 0.7500], [0.7305, 0.7305, 0.2500], [0.0000, 0.0000, 0.0000], [0.0000, 0.0000, 0.5000], [0.0000, 0.3940, 0.7500], [0.0000, 0.6060, 0.2500], [0.3940, 0.0000, 0.7500], [0.3940, 0.3940, 0.2500], [0.6060, 0.0000, 0.2500], [0.6060, 0.6060, 0.7500]]
}

***

(2)
{
  "formula": "SrPrCd",
  "functional": "GGA-PBE",
  "state": "relaxed",
  "sg": "No. 216",
  "final_energy_ev_per_atom": -2.42,
  "lattice_angstrom": [[7.7170, 0.0000, 0.0000], [0.0000, 7.7170, 0.0000], [0.0000, 0.0000, 7.7170]],
  "species": ["Sr", "Sr", "Sr", "Sr", "Pr", "Pr", "Pr", "Pr", "Cd", "Cd", "Cd", "Cd"],
  "fractional_positions": [[0.0000, 0.0000, 0.0000], [0.0000, 0.5000, 0.5000], [0.5000, 0.0000, 0.5000], [0.5000, 0.5000, 0.0000], [0.0000, 0.0000, 0.5000], [0.0000, 0.5000, 0.0000], [0.5000, 0.0000, 0.0000], [0.5000, 0.5000, 0.5000], [0.2500, 0.2500, 0.7500], [0.2500, 0.7500, 0.2500], [0.7500, 0.2500, 0.2500], [0.7500, 0.7500, 0.7500]]
}

***

(3)
{
  "formula": "InReNiPt",
  "functional": "GGA-PBE",
  "state": "relaxed",
  "sg": "No. 216",
  "final_energy_ev_per_atom": -6.40,
  "lattice_angstrom": [[6.3035, 0.0000, 0.0000], [0.0000, 6.3035, 0.0000], [0.0000, 0.0000, 6.3035]],
  "species": ["In", "In", "In", "In", "Re", "Re", "Re", "Re", "Ni", "Ni", "Ni", "Ni", "Pt", "Pt", "Pt", "Pt"],
  "fractional_positions": [[0.0000, 0.0000, 0.0000], [0.0000, 0.5000, 0.5000], [0.5000, 0.0000, 0.5000], [0.5000, 0.5000, 0.0000], [0.0000, 0.0000, 0.5000], [0.0000, 0.5000, 0.0000], [0.5000, 0.0000, 0.0000], [0.5000, 0.5000, 0.5000], [0.2500, 0.2500, 0.2500], [0.2500, 0.7500, 0.7500], [0.7500, 0.2500, 0.7500], [0.7500, 0.7500, 0.2500], [0.2500, 0.2500, 0.7500], [0.2500, 0.7500, 0.2500], [0.7500, 0.2500, 0.2500], [0.7500, 0.7500, 0.7500]]
}

***

(4)
{
  "formula": "PrBiNO",
  "functional": "GGA-PBE",
  "state": "relaxed",
  "sg": "No. 129",
  "e_above_lowest_polymorph_ev_per_atom": 0.355,
  "lattice_angstrom": [[4.4615, 0.0000, 0.0000], [0.0000, 4.4615, 0.0000], [0.0000, 0.0000, 7.6219]],
  "species": ["Pr", "Pr", "Bi", "Bi", "N", "N", "O", "O"],
  "fractional_positions": [[0.2500, 0.2500, 0.1153], [0.7500, 0.7500, 0.8847], [0.2500, 0.7500, 0.5000], [0.7500, 0.2500, 0.5000], [0.2500, 0.2500, 0.6580], [0.7500, 0.7500, 0.3420], [0.2500, 0.7500, 0.0000], [0.7500, 0.2500, 0.0000]]
}

***

(5)
{
  "formula": "Ac2ErIr4",
  "functional": "GGA-PBE",
  "state": "relaxed",
  "sg": "No. 164",
  "formation_energy_ev_per_atom": 0.091,
  "lattice_angstrom": [[4.4666, 0.0000, 0.0000], [-2.2333, 3.8682, 0.0000], [0.0000, 0.0000, 11.6052]],
  "species": ["Ac", "Ac", "Er", "Ir", "Ir", "Ir", "Ir"],
  "fractional_positions": [[0.3333, 0.6667, 0.2074], [0.6667, 0.3333, 0.7926], [0.0000, 0.0000, 0.5000], [0.3333, 0.6667, 0.4390], [0.3333, 0.6667, 0.9739], [0.6667, 0.3333, 0.0261], [0.6667, 0.3333, 0.5610]]
}

***

(6)
{
  "formula": "PmZr",
  "functional": "GGA-PBE",
  "state": "relaxed",
  "sg": "No. 59",
  "formation_energy_ev_per_atom": 0.158,
  "e_above_lowest_polymorph_ev_per_atom": 0.077,
  "lattice_angstrom": [[3.3687, 0.0000, 0.0000], [0.0000, 5.4673, 0.0000], [0.0000, 0.0000, 6.0592]],
  "species": ["Pm", "Pm", "Zr", "Zr"],
  "fractional_positions": [[0.2500, 0.2500, 0.0990], [0.7500, 0.7500, 0.9010], [0.2500, 0.7500, 0.4294], [0.7500, 0.2500, 0.5706]]
}

***

(7)
{
  "formula": "Fe3OsI",
  "functional": "GGA-PBE",
  "state": "relaxed",
  "sg": "No. 221",
  "final_energy_ev_per_atom": -5.41,
  "lattice_angstrom": [[4.4604, 0.0000, 0.0000], [0.0000, 4.4604, 0.0000], [0.0000, 0.0000, 4.4604]],
  "species": ["Fe", "Fe", "Fe", "Os", "I"],
  "fractional_positions": [[0.0000, 0.0000, 0.5000], [0.0000, 0.5000, 0.0000], [0.5000, 0.0000, 0.0000], [0.5000, 0.5000, 0.5000], [0.0000, 0.0000, 0.0000]]
}

***

(8)
{
  "formula": "MgBeAlZn",
  "functional": "GGA-PBE",
  "state": "relaxed",
  "sg": "No. 216",
  "e_above_lowest_polymorph_ev_per_atom": 0.103,
  "lattice_angstrom": [[6.2608, 0.0000, 0.0000], [0.0000, 6.2608, 0.0000], [0.0000, 0.0000, 6.2608]],
  "species": ["Mg", "Mg", "Mg", "Mg", "Be", "Be", "Be", "Be", "Al", "Al", "Al", "Al", "Zn", "Zn", "Zn", "Zn"],
  "fractional_positions": [[0.0000, 0.0000, 0.0000], [0.0000, 0.5000, 0.5000], [0.5000, 0.0000, 0.5000], [0.5000, 0.5000, 0.0000], [0.2500, 0.2500, 0.7500], [0.2500, 0.7500, 0.2500], [0.7500, 0.2500, 0.2500], [0.7500, 0.7500, 0.7500], [0.2500, 0.2500, 0.2500], [0.2500, 0.7500, 0.7500], [0.7500, 0.2500, 0.7500], [0.7500, 0.7500, 0.2500], [0.0000, 0.0000, 0.5000], [0.0000, 0.5000, 0.0000], [0.5000, 0.0000, 0.0000], [0.5000, 0.5000, 0.5000]]
}

***

(9)
{
  "formula": "Cu2H12C7S3N4",
  "functional": "GGA-PBE",
  "state": "relaxed",
  "sg": "No. 101",
  "final_energy_ev_per_atom": -5.69,
  "lattice_angstrom": [[11.0239, 0.0000, 0.0000], [0.0000, 11.0239, 0.0000], [0.0000, 0.0000, 10.5752]],
  "species": ["Cu", "Cu", "Cu", "Cu", "Cu", "Cu", "Cu", "Cu", "H", "H", "H", "H", "H", "H", "H", "H", "H", "H", "H", "H", "H", "H", "H", "H", "H", "H", "H", "H", "H", "H", "H", "H", "H", "H", "H", "H", "H", "H", "H", "H", "H", "H", "H", "H", "H", "H", "H", "H", "H", "H", "H", "H", "H", "H", "H", "H", "C", "C", "C", "C", "C", "C", "C", "C", "C", "C", "C", "C", "C", "C", "C", "C", "C", "C", "C", "C", "C", "C", "C", "C", "C", "C", "C", "C", "S", "S", "S", "S", "S", "S", "S", "S", "S", "S", "S", "S", "N", "N", "N", "N", "N", "N", "N", "N", "N", "N", "N", "N", "N", "N", "N", "N"],
  "fractional_positions": [[0.0840, 0.0840, 0.0000], [0.0840, 0.9160, 0.5000], [0.4140, 0.4140, 0.1601], [0.4140, 0.5860, 0.6601], [0.5860, 0.4140, 0.6601], [0.5860, 0.5860, 0.1601], [0.9160, 0.0840, 0.5000], [0.9160, 0.9160, 0.0000], [0.0333, 0.3681, 0.0433], [0.0333, 0.6319, 0.5433], [0.0704, 0.3222, 0.6650], [0.0704, 0.6778, 0.1650], [0.0712, 0.3800, 0.3227], [0.0712, 0.6200, 0.8227], [0.1197, 0.4278, 0.5478], [0.1197, 0.5722, 0.0478], [0.1328, 0.4678, 0.8262], [0.1328, 0.5322, 0.3262], [0.1777, 0.4282, 0.2050], [0.1777, 0.5718, 0.7050], [0.3222, 0.0704, 0.6650], [0.3222, 0.9296, 0.1650], [0.3681, 0.0333, 0.0433], [0.3681, 0.9667, 0.5433], [0.3800, 0.0712, 0.3227], [0.3800, 0.9288, 0.8227], [0.4278, 0.1197, 0.5478], [0.4282, 0.1777, 0.2050], [0.4282, 0.8223, 0.7050], [0.4278, 0.8803, 0.0478], [0.4678, 0.1328, 0.8262], [0.4678, 0.8672, 0.3262], [0.5322, 0.1328, 0.3262], [0.5322, 0.8672, 0.8262], [0.5722, 0.1197, 0.0478], [0.5718, 0.1777, 0.7050], [0.5718, 0.8223, 0.2050], [0.5722, 0.8803, 0.5478], [0.6200, 0.0712, 0.8227], [0.6200, 0.9288, 0.3227], [0.6319, 0.0333, 0.5433], [0.6319, 0.9667, 0.0433], [0.6778, 0.0704, 0.1650], [0.6778, 0.9296, 0.6650], [0.8223, 0.4282, 0.7050], [0.8223, 0.5718, 0.2050], [0.8672, 0.4678, 0.3262], [0.8672, 0.5322, 0.8262], [0.8803, 0.4278, 0.0478], [0.8803, 0.5722, 0.5478], [0.9288, 0.3800, 0.8227], [0.9288, 0.6200, 0.3227], [0.9296, 0.3222, 0.1650], [0.9296, 0.6778, 0.6650], [0.9667, 0.3681, 0.5433], [0.9667, 0.6319, 0.0433], [0.0420, 0.3971, 0.6037], [0.0420, 0.6029, 0.1037], [0.1028, 0.4570, 0.2661], [0.1028, 0.5430, 0.7661], [0.1153, 0.1153, 0.2870], [0.1153, 0.8847, 0.7870], [0.2706, 0.2706, 0.9574], [0.2706, 0.7294, 0.4574], [0.3862, 0.3862, 0.4478], [0.3862, 0.6138, 0.9478], [0.3971, 0.0420, 0.6037], [0.3971, 0.9580, 0.1037], [0.4570, 0.1028, 0.2661], [0.4570, 0.8972, 0.7661], [0.5430, 0.1028, 0.7661], [0.5430, 0.8972, 0.2661], [0.6029, 0.0420, 0.1037], [0.6029, 0.9580, 0.6037], [0.6138, 0.3862, 0.9478], [0.6138, 0.6138, 0.4478], [0.7294, 0.2706, 0.4574], [0.7294, 0.7294, 0.9574], [0.8847, 0.1153, 0.7870], [0.8847, 0.8847, 0.2870], [0.8972, 0.4570, 0.7661], [0.8972, 0.5430, 0.2661], [0.9580, 0.3971, 0.1037], [0.9580, 0.6029, 0.6037], [0.1234, 0.1234, 0.4423], [0.1234, 0.8766, 0.9423], [0.1933, 0.1933, 0.8524], [0.1933, 0.8067, 0.3524], [0.3778, 0.3778, 0.6030], [0.3778, 0.6222, 0.1030], [0.6222, 0.3778, 0.1030], [0.6222, 0.6222, 0.6030], [0.8067, 0.1933, 0.3524], [0.8067, 0.8067, 0.8524], [0.8766, 0.1234, 0.9423], [0.8766, 0.8766, 0.4423], [0.0000, 0.5000, 0.1851], [0.0000, 0.5000, 0.6851], [0.1097, 0.1097, 0.1756], [0.1097, 0.8903, 0.6756], [0.3250, 0.3250, 0.0354], [0.3250, 0.6750, 0.5354], [0.3914, 0.3914, 0.3363], [0.3914, 0.6086, 0.8363], [0.5000, 0.0000, 0.1851], [0.5000, 0.0000, 0.6851], [0.6086, 0.3914, 0.8363], [0.6086, 0.6086, 0.3363], [0.6750, 0.3250, 0.5354], [0.6750, 0.6750, 0.0354], [0.8903, 0.1097, 0.6756], [0.8903, 0.8903, 0.1756]]
}

***

(10)
{
  "formula": "Ho2Tl",
  "functional": "GGA-PBE",
  "state": "relaxed",
  "sg": "No. 194",
  "final_energy_ev_per_atom": -4.09,
  "lattice_angstrom": [[5.3712, 0.0000, 0.0000], [-2.6856, 4.6516, 0.0000], [0.0000, 0.0000, 6.6524]],
  "species": ["Ho", "Ho", "Ho", "Ho", "Tl", "Tl"],
  "fractional_positions": [[0.0000, 0.0000, 0.0000], [0.0000, 0.0000, 0.5000], [0.3333, 0.6667, 0.2500], [0.6667, 0.3333, 0.7500], [0.3333, 0.6667, 0.7500], [0.6667, 0.3333, 0.2500]]
}

***

(11)
{
  "formula": "Hf4BiAuC2",
  "functional": "GGA-PBE",
  "state": "relaxed",
  "sg": "No. 187",
  "final_energy_ev_per_atom": -8.85,
  "lattice_angstrom": [[3.3554, 0.0000, 0.0000], [-1.6777, 2.9059, 0.0000], [0.0000, 0.0000, 14.2765]],
  "species": ["Hf", "Hf", "Hf", "Hf", "Bi", "Au", "C", "C"],
  "fractional_positions": [[0.0000, 0.0000, 0.1566], [0.0000, 0.0000, 0.8434], [0.6667, 0.3333, 0.3287], [0.6667, 0.3333, 0.6713], [0.0000, 0.0000, 0.5000], [0.6667, 0.3333, 0.0000], [0.3333, 0.6667, 0.2444], [0.3333, 0.6667, 0.7556]]
}

***

(12)
{
  "formula": "HfCdSn",
  "functional": "GGA-PBE",
  "state": "relaxed",
  "sg": "No. 216",
  "e_above_lowest_polymorph_ev_per_atom": 0.000,
  "lattice_angstrom": [[6.7488, 0.0000, 0.0000], [0.0000, 6.7488, 0.0000], [0.0000, 0.0000, 6.7488]],
  "species": ["Hf", "Hf", "Hf", "Hf", "Cd", "Cd", "Cd", "Cd", "Sn", "Sn", "Sn", "Sn"],
  "fractional_positions": [[0.0000, 0.0000, 0.0000], [0.0000, 0.5000, 0.5000], [0.5000, 0.0000, 0.5000], [0.5000, 0.5000, 0.0000], [0.0000, 0.0000, 0.5000], [0.0000, 0.5000, 0.0000], [0.5000, 0.0000, 0.0000], [0.5000, 0.5000, 0.5000], [0.2500, 0.2500, 0.7500], [0.2500, 0.7500, 0.2500], [0.7500, 0.2500, 0.2500], [0.7500, 0.7500, 0.7500]]
}

***

Q: Which formula does entry 5 have?
A: Ac2ErIr4